VASP calculation (GGA-PBE) on a relaxed BeTlTe2 crystal.

CIF file:
```
data_BeTlTe2
_chemical_formula_sum 'Be1 Tl1 Te2'
_cell_length_a 3.456
_cell_length_b 3.456
_cell_length_c 8.727
_cell_angle_alpha 90.00
_cell_angle_beta 90.00
_cell_angle_gamma 90.00
_space_group_name_H-M_alt 'P 1'
_space_group_IT_number 1
loop_
_space_group_symop_operation_xyz
'x,y,z'
loop_
_atom_site_label
_atom_site_fract_x
_atom_site_fract_y
_atom_site_fract_z
Be1 0.000 0.000 0.000
Tl1 0.000 0.000 0.500
Te1 0.500 0.500 0.182
Te2 0.500 0.500 0.818
```

Calculated values
**Formation energy (no corrections)**: 1.3 eV/f.u.
**DOS(E_F)**: 0.441 states/eV/atom
**Energy above the most stable polymorph in this dataset**: 1.94 eV per formula unit


VASP calculation (GGA-PBE) on a relaxed Be2TlTe crystal.

CIF file:
```
data_Be2TlTe
_chemical_formula_sum 'Be2 Tl1 Te1'
_cell_length_a 4.713
_cell_length_b 4.713
_cell_length_c 4.419
_cell_angle_alpha 109.86
_cell_angle_beta 109.86
_cell_angle_gamma 93.56
_space_group_name_H-M_alt 'P 1'
_space_group_IT_number 1
loop_
_space_group_symop_operation_xyz
'x,y,z'
loop_
_atom_site_label
_atom_site_fract_x
_atom_site_fract_y
_atom_site_fract_z
Be1 0.000 0.500 0.000
Be2 0.500 0.000 0.000
Tl1 0.000 0.000 0.500
Te1 0.500 0.500 0.500
```

Calculated values
**Formation energy (no corrections)**: 2.7 eV/f.u.
**DOS(E_F)**: 0.314 states/eV/atom
**Energy above the most stable polymorph in this dataset**: 1.34 eV per formula unit


VASP calculation (GGA-PBE) on a relaxed BeTlTe2 crystal.

CIF file:
```
data_BeTlTe2
_chemical_formula_sum 'Be1 Tl1 Te2'
_cell_length_a 8.816
_cell_length_b 8.816
_cell_length_c 8.816
_cell_angle_alpha 24.67
_cell_angle_beta 24.67
_cell_angle_gamma 24.67
_space_group_name_H-M_alt 'P 1'
_space_group_IT_number 1
loop_
_space_group_symop_operation_xyz
'x,y,z'
loop_
_atom_site_label
_atom_site_fract_x
_atom_site_fract_y
_atom_site_fract_z
Be1 0.000 0.000 0.000
Tl1 0.500 0.500 0.500
Te1 0.275 0.275 0.275
Te2 0.725 0.725 0.725
```

Calculated values
**Formation energy (no corrections)**: -0.2 eV/f.u.
**DOS(E_F)**: 0.318 states/eV/atom
**Energy above the most stable polymorph in this dataset**: 0.45 eV per formula unit


VASP calculation (GGA-PBE) on a relaxed Be2TlTe crystal.

CIF file:
```
data_Be2TlTe
_chemical_formula_sum 'Be2 Tl1 Te1'
_cell_length_a 3.568
_cell_length_b 3.568
_cell_length_c 8.095
_cell_angle_alpha 90.00
_cell_angle_beta 90.00
_cell_angle_gamma 114.21
_space_group_name_H-M_alt 'P 1'
_space_group_IT_number 1
loop_
_space_group_symop_operation_xyz
'x,y,z'
loop_
_atom_site_label
_atom_site_fract_x
_atom_site_fract_y
_atom_site_fract_z
Be1 0.000 0.000 0.000
Be2 0.500 0.500 0.121
Tl1 0.500 0.500 0.754
Te1 0.000 0.000 0.301
```

Calculated values
**Formation energy (no corrections)**: 1.8 eV/f.u.
**DOS(E_F)**: 0.403 states/eV/atom
**Energy above the most stable polymorph in this dataset**: 0.36 eV per formula unit


VASP calculation (GGA-PBE) on a relaxed BeTlTe crystal.

CIF file:
```
data_BeTlTe
_chemical_formula_sum 'Be1 Tl1 Te1'
_cell_length_a 7.292
_cell_length_b 6.833
_cell_length_c 3.789
_cell_angle_alpha 81.26
_cell_angle_beta 67.84
_cell_angle_gamma 30.90
_space_group_name_H-M_alt 'P 1'
_space_group_IT_number 1
loop_
_space_group_symop_operation_xyz
'x,y,z'
loop_
_atom_site_label
_atom_site_fract_x
_atom_site_fract_y
_atom_site_fract_z
Be1 0.000 0.000 0.000
Tl1 0.659 0.659 0.341
Te1 0.404 0.404 0.596
```

Calculated values
**Formation energy (no corrections)**: 0.7 eV/f.u.
**DOS(E_F)**: 0.130 states/eV/atom
**Energy above the most stable polymorph in this dataset**: 0.85 eV per formula unit


VASP calculation (GGA-PBE) on a relaxed Be2TlTe crystal.

CIF file:
```
data_Be2TlTe
_chemical_formula_sum 'Be2 Tl1 Te1'
_cell_length_a 3.682
_cell_length_b 3.682
_cell_length_c 7.440
_cell_angle_alpha 90.00
_cell_angle_beta 90.00
_cell_angle_gamma 120.57
_space_group_name_H-M_alt 'P 1'
_space_group_IT_number 1
loop_
_space_group_symop_operation_xyz
'x,y,z'
loop_
_atom_site_label
_atom_site_fract_x
_atom_site_fract_y
_atom_site_fract_z
Be1 0.000 0.000 0.231
Be2 0.000 0.000 0.769
Tl1 0.500 0.500 0.500
Te1 0.500 0.500 0.000
```

Calculated values
**Formation energy (no corrections)**: 2.8 eV/f.u.
**DOS(E_F)**: 0.614 states/eV/atom
**Energy above the most stable polymorph in this dataset**: 1.36 eV per formula unit


VASP calculation (GGA-PBE) on a relaxed Be3TlTe crystal.

CIF file:
```
data_Be3TlTe
_chemical_formula_sum 'Be3 Tl1 Te1'
_cell_length_a 4.674
_cell_length_b 4.674
_cell_length_c 4.674
_cell_angle_alpha 90.00
_cell_angle_beta 90.00
_cell_angle_gamma 90.00
_space_group_name_H-M_alt 'P 1'
_space_group_IT_number 1
loop_
_space_group_symop_operation_xyz
'x,y,z'
loop_
_atom_site_label
_atom_site_fract_x
_atom_site_fract_y
_atom_site_fract_z
Be1 0.000 0.000 0.500
Be2 0.000 0.500 0.000
Be3 0.500 0.000 0.000
Tl1 0.000 0.000 0.000
Te1 0.500 0.500 0.500
```

Calculated values
**Formation energy (no corrections)**: 5.3 eV/f.u.
**DOS(E_F)**: 0.809 states/eV/atom
**Energy above the most stable polymorph in this dataset**: 0.00 eV per formula unit


VASP calculation (GGA-PBE) on a relaxed Be2TlTe crystal.

CIF file:
```
data_Be2TlTe
_chemical_formula_sum 'Be2 Tl1 Te1'
_cell_length_a 4.368
_cell_length_b 3.751
_cell_length_c 5.934
_cell_angle_alpha 90.00
_cell_angle_beta 104.71
_cell_angle_gamma 90.00
_space_group_name_H-M_alt 'P 1'
_space_group_IT_number 1
loop_
_space_group_symop_operation_xyz
'x,y,z'
loop_
_atom_site_label
_atom_site_fract_x
_atom_site_fract_y
_atom_site_fract_z
Be1 0.000 0.000 0.000
Be2 0.256 0.500 0.990
Tl1 0.852 0.500 0.290
Te1 0.426 0.000 0.783
```

Calculated values
**Formation energy (no corrections)**: 1.4 eV/f.u.
**DOS(E_F)**: 0.193 states/eV/atom
**Energy above the most stable polymorph in this dataset**: 0.00 eV per formula unit